1.
PBE TiSiF2, optimized geometry; excess energy over the best structure of this formula in the dataset = 856 meV per atom; crystal system = cubic
1.0
5.863 0.000 0.000
0.000 5.863 0.000
0.000 0.000 5.863
Ti Si F
4 4 8
Cartesian
0.000 0.000 0.000
0.000 2.932 2.932
2.932 0.000 2.932
2.932 2.932 0.000
0.000 0.000 2.932
0.000 2.932 0.000
2.932 0.000 0.000
2.932 2.932 2.932
1.466 1.466 1.466
1.466 1.466 4.397
1.466 4.397 1.466
1.466 4.397 4.397
4.397 1.466 1.466
4.397 1.466 4.397
4.397 4.397 1.466
4.397 4.397 4.397

***

2.
PBE TiSiF2, optimized geometry; excess energy over the best structure of this formula in the dataset = 196 meV per atom; crystal system = tetragonal
1.0
3.689 0.000 0.000
0.000 3.689 0.000
0.000 0.000 14.890
Ti Si F
4 4 8
Cartesian
0.000 0.000 0.000
0.000 1.844 3.723
1.844 0.000 11.168
1.844 1.844 7.445
0.000 0.000 7.445
0.000 1.844 11.168
1.844 0.000 3.723
1.844 1.844 0.000
0.779 0.922 1.861
0.922 2.624 5.584
0.922 2.910 13.029
1.065 0.922 9.306
2.624 2.767 9.306
2.767 0.779 13.029
2.767 1.065 5.584
2.910 2.767 1.861

***

3.
PBE TiSiF3, optimized geometry; excess energy over the best structure of this formula in the dataset = 0 meV per atom; crystal system = cubic
1.0
4.115 0.000 0.000
0.000 4.115 0.000
0.000 0.000 4.115
Ti Si F
1 1 3
Cartesian
0.000 0.000 0.000
2.057 2.057 2.057
0.000 0.000 2.057
0.000 2.057 0.000
2.057 0.000 0.000

***

4.
PBE Ti2SiF, optimized geometry; excess energy over the best structure of this formula in the dataset = 244 meV per atom; crystal system = tetragonal
1.0
4.862 0.000 0.000
0.000 4.862 0.000
0.000 0.000 11.692
Ti Si F
8 4 4
Cartesian
0.847 1.215 1.462
1.215 3.278 4.385
1.215 4.015 10.231
1.584 1.215 7.308
3.278 3.646 7.308
3.646 0.847 10.231
3.646 1.584 4.385
4.015 3.646 1.462
0.000 0.000 5.846
0.000 2.431 8.769
2.431 0.000 2.923
2.431 2.431 0.000
0.000 0.000 0.000
0.000 2.431 2.923
2.431 0.000 8.769
2.431 2.431 5.846

***

5.
PBE TiSiF3, optimized geometry; excess energy over the best structure of this formula in the dataset = 551 meV per atom; crystal system = cubic
1.0
4.269 0.000 0.000
0.000 4.269 0.000
0.000 0.000 4.269
Ti Si F
1 1 3
Cartesian
0.000 0.000 0.000
2.134 2.134 2.134
0.000 2.134 2.134
2.134 0.000 2.134
2.134 2.134 0.000

***

6.
PBE Ti2SiF, optimized geometry; excess energy over the best structure of this formula in the dataset = 0 meV per atom; crystal system = cubic
1.0
6.116 0.000 0.000
0.000 6.116 0.000
0.000 0.000 6.116
Ti Si F
8 4 4
Cartesian
1.529 1.529 1.529
1.529 1.529 4.587
1.529 4.587 1.529
1.529 4.587 4.587
4.587 1.529 1.529
4.587 1.529 4.587
4.587 4.587 1.529
4.587 4.587 4.587
0.000 0.000 0.000
0.000 3.058 3.058
3.058 0.000 3.058
3.058 3.058 0.000
0.000 0.000 3.058
0.000 3.058 0.000
3.058 0.000 0.000
3.058 3.058 3.058

***

7.
PBE TlSi2F, optimized geometry; excess energy over the best structure of this formula in the dataset = 424 meV per atom; crystal system = cubic
1.0
6.546 0.000 0.000
0.000 6.546 0.000
0.000 0.000 6.546
Tl Si F
4 8 4
Cartesian
0.000 0.000 0.000
0.000 3.273 3.273
3.273 0.000 3.273
3.273 3.273 0.000
1.637 1.637 1.637
1.637 1.637 4.910
1.637 4.910 1.637
1.637 4.910 4.910
4.910 1.637 1.637
4.910 1.637 4.910
4.910 4.910 1.637
4.910 4.910 4.910
0.000 0.000 3.273
0.000 3.273 0.000
3.273 0.000 0.000
3.273 3.273 3.273

***

8.
PBE TlSiF3, optimized geometry; final energy = -4.460 eV/atom; crystal system = cubic
1.0
4.379 0.000 0.000
0.000 4.379 0.000
0.000 0.000 4.379
Tl Si F
1 1 3
Cartesian
0.000 0.000 0.000
2.190 2.190 2.190
0.000 2.190 2.190
2.190 0.000 2.190
2.190 2.190 0.000

***

9.
PBE TlSiF2, optimized geometry; excess energy over the best structure of this formula in the dataset = 349 meV per atom; crystal system = tetragonal
1.0
4.407 0.000 0.000
0.000 4.407 0.000
0.000 0.000 14.954
Tl Si F
4 4 8
Cartesian
0.000 0.000 0.000
0.000 2.203 3.739
2.203 0.000 11.216
2.203 2.203 7.477
0.000 0.000 7.477
0.000 2.203 11.216
2.203 0.000 3.739
2.203 2.203 0.000
0.650 1.102 9.346
1.102 2.854 13.085
1.102 3.757 5.608
1.553 1.102 1.869
2.854 3.305 1.869
3.305 0.650 5.608
3.305 1.553 13.085
3.757 3.305 9.346

***

10.
PBE TlSi3F, optimized geometry; excess energy over the best structure of this formula in the dataset = 815 meV per atom; crystal system = cubic
1.0
5.310 0.000 0.000
0.000 5.310 0.000
0.000 0.000 5.310
Tl Si F
1 3 1
Cartesian
0.000 0.000 0.000
0.000 0.000 2.655
0.000 2.655 0.000
2.655 0.000 0.000
2.655 2.655 2.655

***

11.
PBE TlSiF3, optimized geometry; final energy = -3.530 eV/atom; crystal system = cubic
1.0
4.589 0.000 0.000
0.000 4.589 0.000
0.000 0.000 4.589
Tl Si F
1 1 3
Cartesian
0.000 0.000 0.000
2.295 2.295 2.295
0.000 0.000 2.295
0.000 2.295 0.000
2.295 0.000 0.000

***

12.
PBE TlSiF2, optimized geometry; excess energy over the best structure of this formula in the dataset = 0 meV per atom; crystal system = trigonal
1.0
3.146 0.000 0.000
-1.573 2.724 0.000
0.000 0.000 24.180
Tl Si F
3 3 6
Cartesian
0.000 0.000 0.000
0.000 1.816 16.120
1.573 0.908 8.060
0.000 0.000 12.090
0.000 1.816 4.030
1.573 0.908 20.150
0.000 0.000 10.312
0.000 0.000 13.868
0.000 1.816 2.252
0.000 1.816 5.808
1.573 0.908 18.372
1.573 0.908 21.928

***

13.
PBE Tl3SiF6, optimized geometry; final energy = -4.676 eV/atom; crystal system = orthorhombic
1.0
0.000 4.666 5.712
3.755 0.000 5.712
3.755 4.666 0.000
Tl Si F
3 1 6
Cartesian
0.000 0.000 0.000
1.877 2.333 2.856
5.632 6.999 8.568
3.755 4.666 5.712
4.979 4.666 4.489
3.755 2.956 5.712
4.979 4.666 6.935
2.530 4.666 4.489
3.755 6.376 5.712
2.530 4.666 6.935

***

14.
PBE TlSiF2, optimized geometry; excess energy over the best structure of this formula in the dataset = 256 meV per atom; crystal system = trigonal
1.0
3.533 0.000 0.000
-1.767 3.060 0.000
0.000 0.000 23.564
Tl Si F
3 3 6
Cartesian
0.000 0.000 0.000
0.000 2.040 15.709
1.767 1.020 7.855
0.000 0.000 11.782
0.000 2.040 3.927
1.767 1.020 19.637
0.000 0.000 2.966
0.000 0.000 20.598
0.000 2.040 12.743
0.000 2.040 18.675
1.767 1.020 4.889
1.767 1.020 10.821

***

Quick rundown of mass density, same order as above: 3.8 3.7 3.2 3.4 2.8 4.1 6.6 5.7 6.2 3.4 5.0 6.5 6.3 5.3 g cm⁻³